This record from the Alexandria database describes crystalline NbNiSCl2 at its relaxed geometry. The functional is PBE-GGA.

Output
Uncorrected formation energy ... 0.088 eV/atom
Energy relative to the lowest polymorph listed for this composition ... 0.000 eV per atom
Magnetization ... 0.69 μB per cell

Lattice parameters (Å, degrees): 4.8616 4.8616 4.8282 90.00 90.00 90.00
Closest atoms and distances in Å follow each position.
Space group P4/mmm (No. 123)
One atom of each set of equivalent atoms:
Nb 0.0000 0.0000 0.0000 x1  2 S 2.41, 4 Cl 2.43
Ni 0.5000 0.5000 0.5000 x1  8 Cl 3.43, 4 S 3.44
S 0.0000 0.0000 0.5000 x1  2 Nb 2.41
Cl 0.0000 0.5000 0.0000 x2  2 Nb 2.43

***

This record from the Alexandria database describes crystalline NbNiS2Cl at its relaxed geometry. The functional is PBE-GGA.

Output
Uncorrected formation energy ... 0.277 eV/atom
Energy relative to the lowest polymorph listed for this composition ... 0.143 eV per atom
Magnetization ... 1.84 μB per cell

Lattice parameters (Å, degrees): 4.4960 4.4960 4.3561 90.00 90.00 90.00
Closest atoms and distances in Å follow each position.
Space group P4/mmm (No. 123)
One atom of each set of equivalent atoms:
Nb 0.0000 0.0000 0.0000 x1  8 S 3.13, 4 Cl 3.18
Ni 0.5000 0.5000 0.5000 x1  2 Cl 2.18, 4 S 2.25
S 0.0000 0.5000 0.5000 x2  2 Ni 2.25
Cl 0.5000 0.5000 0.0000 x1  2 Ni 2.18

***

This record from the Alexandria database describes crystalline NbNiSCl2 at its relaxed geometry. The functional is PBE-GGA.

Output
Uncorrected formation energy ... 0.240 eV/atom
Energy relative to the lowest polymorph listed for this composition ... 0.151 eV per atom
Magnetization ... 2.63 μB per cell

Lattice parameters (Å, degrees): 4.4344 4.4344 4.7423 90.00 90.00 90.00
Closest atoms and distances in Å follow each position.
Space group P4/mmm (No. 123)
One atom of each set of equivalent atoms:
Nb 0.0000 0.0000 0.0000 x1  4 S 3.14, 8 Cl 3.25
Ni 0.5000 0.5000 0.5000 x1  4 Cl 2.22, 2 S 2.37
S 0.5000 0.5000 0.0000 x1  2 Ni 2.37
Cl 0.0000 0.5000 0.5000 x2  2 Ni 2.22

***

This record from the Alexandria database describes crystalline NbNiS2Cl at its relaxed geometry. The functional is PBE-GGA.

Output
Uncorrected formation energy ... 0.134 eV/atom
Energy relative to the lowest polymorph listed for this composition ... 0.000 eV per atom
Magnetization ... 0.97 μB per cell

Lattice parameters (Å, degrees): 4.8144 4.8144 4.8170 90.00 90.00 90.00
Closest atoms and distances in Å follow each position.
Space group P4/mmm (No. 123)
One atom of each set of equivalent atoms:
Nb 0.0000 0.0000 0.0000 x1  4 S 2.41, 2 Cl 2.41
Ni 0.5000 0.5000 0.5000 x1  4 Cl 3.40, 8 S 3.41
S 0.0000 0.5000 0.0000 x2  2 Nb 2.41
Cl 0.0000 0.0000 0.5000 x1  2 Nb 2.41

***

This record from the Alexandria database describes crystalline NbNiSe2Cl at its relaxed geometry. The functional is PBE-GGA.

Output
Uncorrected formation energy ... 0.234 eV/atom
Magnetization ... 0.03 μB per cell

Lattice parameters (Å, degrees): 5.0786 5.0786 4.7390 90.00 90.00 90.00
Closest atoms and distances in Å follow each position.
Space group P4/mmm (No. 123)
One atom of each set of equivalent atoms:
Nb 0.0000 0.0000 0.0000 x1  2 Cl 2.37, 4 Se 2.54
Ni 0.5000 0.5000 0.5000 x1  8 Se 3.47, 4 Cl 3.59
Se 0.0000 0.5000 0.0000 x2  2 Nb 2.54
Cl 0.0000 0.0000 0.5000 x1  2 Nb 2.37

***

This record from the Alexandria database describes crystalline TaNbNi2Cl at its relaxed geometry. The functional is PBE-GGA.

Output
Uncorrected formation energy ... 1.504 eV/atom
Magnetization ... 0.99 μB per cell

Lattice parameters (Å, degrees): 4.5843 4.5843 5.0262 90.00 90.00 90.00
Closest atoms and distances in Å follow each position.
Space group P4/mmm (No. 123)
One atom of each set of equivalent atoms:
Ta 0.0000 0.0000 0.0000 x1  2 Nb 2.51
Nb 0.0000 0.0000 0.5000 x1  4 Ni 2.29, 2 Ta 2.51
Ni 0.0000 0.5000 0.5000 x2  2 Nb 2.29
Cl 0.5000 0.5000 0.0000 x1  4 Ta 3.24, 8 Ni 3.40

***

This record from the Alexandria database describes crystalline Nb2Cl3O2 at its relaxed geometry. The functional is PBE-GGA.

Output
Uncorrected formation energy ... -1.476 eV/atom
Magnetization ... 0.00 μB per cell

Lattice parameters (Å, degrees): 3.1048 3.0615 13.4030 90.00 96.72 90.00
Closest atoms and distances in Å follow each position.
Space group P2/m (No. 10)
One atom of each set of equivalent atoms:
Nb 0.0957 0.0000 0.1888 x2  4 O 2.18, 1 Cl 2.29
Cl 0.0000 0.0000 0.0000 x1  2 Nb 2.51
Cl 0.1827 0.0000 0.3611 x2  1 Nb 2.29
O 0.4067 0.5000 0.8158 x2  4 Nb 2.18

***

This record from the Alexandria database describes crystalline Nb2ClO at its relaxed geometry. The functional is PBE-GGA.

Output
Uncorrected formation energy ... -0.071 eV/atom
Energy relative to the lowest polymorph listed for this composition ... 0.553 eV per atom
Magnetization ... 3.63 μB per cell

Lattice parameters (Å, degrees): 6.0058 6.0058 6.0058 90.00 90.00 90.00
Closest atoms and distances in Å follow each position.
Space group Fm-3m (No. 225)
One atom of each set of equivalent atoms:
Nb 0.2500 0.2500 0.2500 x8  4 O 2.60, 4 Cl 2.60
Cl 0.0000 0.0000 0.0000 x4  8 Nb 2.60
O 0.0000 0.0000 0.5000 x4  8 Nb 2.60

***

This record from the Alexandria database describes crystalline Nb2ClO4 at its relaxed geometry. The functional is PBE-GGA.

Output
Uncorrected formation energy ... -2.137 eV/atom
Magnetization ... 0.00 μB per cell

Lattice parameters (Å, degrees): 6.6088 6.8247 7.3105 63.43 64.85 81.46
Closest atoms and distances in Å follow each position.
Space group P1 (No. 1)
One atom of each set of equivalent atoms:
Nb 0.0000 0.0000 0.0000 x1  4 O 1.90-2.01
Nb 0.0040 0.5051 0.1005 x1  4 O 1.94-2.02
Nb 0.4696 0.9932 0.4665 x1  4 O 1.88-2.07
Nb 0.9447 0.0291 0.6119 x1  4 O 1.91-2.09
Cl 0.3840 0.5875 0.7632 x1  2 Nb 2.57-2.60, 1 O 2.85
Cl 0.5693 0.3959 0.2594 x1  2 Nb 2.50-2.68
O 0.0478 0.2405 0.0487 x1  2 Nb 1.92-1.96
O 0.1330 0.7353 0.1279 x1  2 Nb 1.90-2.02
O 0.2023 0.9186 0.4431 x1  2 Nb 1.91-2.00
O 0.2153 0.0981 0.6863 x1  2 Nb 1.97-2.07
O 0.6729 0.9722 0.2026 x1  2 Nb 1.88-2.01
O 0.6846 0.9557 0.5993 x1  2 Nb 1.91-1.97
O 0.8903 0.7577 0.9167 x1  2 Nb 1.94-2.09
O 0.9454 0.3372 0.4156 x1  2 Nb 1.94

***

This record from the Alexandria database describes crystalline Nb2ClO at its relaxed geometry. The functional is PBE-GGA.

Output
Uncorrected formation energy ... -0.624 eV/atom
Energy relative to the lowest polymorph listed for this composition ... 0.000 eV per atom
Magnetization ... 0.00 μB per cell

Lattice parameters (Å, degrees): 4.3935 4.3935 13.6398 90.00 90.00 90.00
Closest atoms and distances in Å follow each position.
Space group I-42d (No. 122)
One atom of each set of equivalent atoms:
Nb 0.1826 0.2500 0.1250 x8  2 O 2.18
Cl 0.0000 0.0000 0.5000 x4  4 Nb 2.46
O 0.0000 0.0000 0.0000 x4  4 Nb 2.18

***

This record from the Alexandria database describes crystalline NbClO at its relaxed geometry. The functional is PBE-GGA.

Output
Uncorrected formation energy ... -1.523 eV/atom
Magnetization ... 0.00 μB per cell

Lattice parameters (Å, degrees): 3.2041 6.0393 12.8310 90.35 96.54 105.37
Closest atoms and distances in Å follow each position.
Space group P-1 (No. 2)
One atom of each set of equivalent atoms:
Nb 0.2101 0.0208 0.3902 x2  4 O 2.07-2.11
Nb 0.2178 0.7093 0.7474 x2  2 O 2.06
Cl 0.0022 0.2665 0.7618 x2  2 Nb 2.51-2.59
Cl 0.2022 0.2685 0.1011 x2  2 Nb 2.51
O 0.3482 0.1578 0.5420 x2  3 Nb 2.07-2.11
O 0.3636 0.3645 0.3501 x2  3 Nb 2.06-2.08

***

This record from the Alexandria database describes crystalline NbClO at its relaxed geometry. The functional is PBE-GGA.

Output
Uncorrected formation energy ... -1.624 eV/atom
Magnetization ... 0.00 μB per cell

Lattice parameters (Å, degrees): 7.0562 6.0261 5.5006 90.00 109.26 90.00
Closest atoms and distances in Å follow each position.
Space group P2_1/c (No. 14)
One atom of each set of equivalent atoms:
Nb 0.0044 0.1260 0.2650 x4  3 O 2.10-2.11
Cl 0.2822 0.1096 0.7005 x4  3 Nb 2.53-2.64
O 0.1580 0.6208 0.6314 x4  3 Nb 2.10-2.11